Compound: LuScBePt
Source: the Open Quantum Materials Database
Functional: PBE
Structure: relaxed

Output
Total magnetization in μB per cell: 0.0
Electronic total energy in eV per atom: -5.636
Crystal system: cubic
SG: F-43m

Structure (POSCAR):
```
LuScBePt
1.0
0.0000 3.2265 3.2265
3.2265 0.0000 3.2265
3.2265 3.2265 0.0000
Lu Pt Sc Be
1 1 1 1
Direct
0.0000 0.0000 0.0000 Lu
0.5000 0.5000 0.5000 Pt
0.2500 0.2500 0.2500 Sc
0.7500 0.7500 0.7500 Be
```